The following is a DFT calculation (meta-GGA SCAN) of a crystal of CrAgRuC2 relaxed with PBEsol.

The structure belongs to space group P4/mmm (No. 123); the cell edges are 3.868, 3.868 and 5.078 Å and the angles 90.00°, 90.00° and 90.00°. The asymmetric unit holds Cr at (0.000, 0.000, 0.000), Ag at (0.500, 0.500, 0.500), Ru at (0.500, 0.500, 0.000) and C at (0.000, 0.500, 0.500).

Its formation energy is 2810.4 meV/atom.